1.
Below is an optimized crystal structure of ScTeCl2, with properties calculated at the PBE level.

For the total energy, the calculation gives -4.8009 eV per atom. Its crystal system is monoclinic. The calculation puts the uncorrected formation energy at -145.6 kJ/mol of atoms.

It has space group Cm (No. 8), with a = 13.859 Å, b = 3.240 Å, c = 7.217 Å, α = 90.00°, β = 116.64° and γ = 90.00°. The asymmetric unit holds Sc at (0.000, 0.000, 0.000), Te at (0.170, 0.500, 0.335), Cl at (0.012, 0.500, 0.751) and Cl at (0.367, 0.000, 0.012).

---

2.
Below is an optimized crystal structure of La3PmSm7, with properties calculated at the PBE level.

For the total energy, the calculation gives -4.5491 eV per atom. As for the energy of formation from the pure elements: 230 meV/atom. Its crystal system is monoclinic.

It has space group C2/m (No. 12), with a = 12.925 Å, b = 11.441 Å, c = 5.987 Å, α = 90.00°, β = 117.52° and γ = 90.00°. The asymmetric unit holds La at (0.000, 0.000, 0.000), La at (0.000, 0.212, 0.500), Pm at (0.000, 0.500, 0.000), Sm at (0.000, 0.500, 0.500), Sm at (0.203, 0.200, 0.204) and Sm at (0.207, 0.000, 0.707).

---

3.
Below is an optimized crystal structure of TaCuPd2Ru, with properties calculated at the PBE level.

For the total energy, the calculation gives -5.5523 eV per atom. As for the energy of formation from the pure elements: 1570 meV/atom. Its crystal system is tetragonal.

It has space group P4/mmm (No. 123), with a = 4.700 Å, b = 4.700 Å, c = 4.469 Å, α = 90.00°, β = 90.00° and γ = 90.00°. The asymmetric unit holds Ta at (0.000, 0.000, 0.000), Cu at (0.500, 0.500, 0.000), Pd at (0.000, 0.500, 0.500) and Ru at (0.500, 0.500, 0.500).

---

4.
Below is an optimized crystal structure of Sr2ZnAs, with properties calculated at the PBE level.

For the total energy, the calculation gives -2.4397 eV per atom. As for the energy of formation from the pure elements: -118 meV/atom. Its crystal system is cubic.

It has space group F-43m (No. 216), with a = 7.762 Å, b = 7.762 Å, c = 7.762 Å, α = 90.00°, β = 90.00° and γ = 90.00°. The asymmetric unit holds Sr at (0.000, 0.000, 0.000), Sr at (0.250, 0.250, 0.250), Zn at (0.000, 0.000, 0.500) and As at (0.250, 0.250, 0.750).

---

5.
Below is an optimized crystal structure of NaScIrO4, with properties calculated at the PBE level.

For the total energy, the calculation gives -7.0982 eV per atom. Its crystal system is orthorhombic. The calculation puts the uncorrected formation energy at -183.9 kJ/mol of atoms.

It has space group Imma (No. 74), with a = 6.442 Å, b = 6.500 Å, c = 8.641 Å, α = 90.00°, β = 90.00° and γ = 90.00°. The asymmetric unit holds Na at (0.000, 0.250, 0.134), Sc at (0.250, 0.250, 0.750), Ir at (0.000, 0.000, 0.500), O at (0.000, 0.039, 0.735) and O at (0.196, 0.250, 0.502).

---

6.
Below is an optimized crystal structure of Cs5Ga2Te5, with properties calculated at the PBE level.

For the total energy, the calculation gives -2.9539 eV per atom. Its crystal system is monoclinic. The calculation puts the uncorrected formation energy at -75.7 kJ/mol of atoms.

It has space group C2/m (No. 12), with a = 17.127 Å, b = 5.043 Å, c = 12.935 Å, α = 90.00°, β = 98.53° and γ = 90.00°. The asymmetric unit holds Cs at (0.000, 0.000, 0.000), Cs at (0.147, 0.000, 0.597), Cs at (0.214, 0.500, 0.128), Ga at (0.026, 0.500, 0.295), Te at (0.000, 0.500, 0.500), Te at (0.106, 0.000, 0.286) and Te at (0.111, 0.500, 0.837).

---

7.
Below is an optimized crystal structure of SrCuPd3, with properties calculated at the PBE level.

For the total energy, the calculation gives -3.1031 eV per atom. As for the energy of formation from the pure elements: 1168 meV/atom. Its crystal system is cubic.

It has space group Pm-3m (No. 221), with a = 5.157 Å, b = 5.157 Å, c = 5.157 Å, α = 90.00°, β = 90.00° and γ = 90.00°. The asymmetric unit holds Sr at (0.000, 0.000, 0.000), Cu at (0.500, 0.500, 0.500) and Pd at (0.000, 0.000, 0.500).

---

8.
Below is an optimized crystal structure of Sm6Co2Bi, with properties calculated at the PBE level.

For the total energy, the calculation gives -5.4070 eV per atom. As for the energy of formation from the pure elements: -251 meV/atom. Its crystal system is orthorhombic.

It has space group Immm (No. 71), with a = 9.601 Å, b = 10.064 Å, c = 10.242 Å, α = 90.00°, β = 90.00° and γ = 90.00°. The asymmetric unit holds Sm at (0.000, 0.210, 0.233), Sm at (0.183, 0.500, 0.177), Sm at (0.214, 0.316, 0.500), Co at (0.000, 0.349, 0.000), Co at (0.000, 0.500, 0.391), Bi at (0.000, 0.000, 0.000) and Bi at (0.000, 0.000, 0.500).

---

Number 8 is which compound?
Sm6Co2Bi